[1]
This record from Alexandria via LeMat-Bulk describes an optimized crystal structure of MgCoF3. The functional is PBE with a Hubbard U.

Lattice parameters (Å, degrees): 3.957 3.957 3.957 90.00 90.00 90.00
Each line ends with the local moment (μB).
Fractional positions:
Mg  0.000  0.000  0.000  0.00
Co  0.500  0.500  0.500  2.44
F  0.000  0.500  0.000  0.02
F  0.000  0.000  0.500  0.02
F  0.500  0.000  0.000  0.01

Output
E above lowest polymorph (kcal/mol of atoms): 0.00
Symmetry: Pm-3m

=====

[2]
This record from Alexandria via LeMat-Bulk describes an optimized crystal structure of CeMn3B4O12. The functional is PBE with a Hubbard U.

Lattice parameters (Å, degrees): 6.088 6.088 6.088 103.79 103.79 103.79
Each line ends with the local moment (μB).
Fractional positions:
Ce  0.000  0.000  0.000  0.80
Mn  0.556  0.444  0.000  2.08
Mn  0.444  0.000  0.556  2.08
Mn  0.000  0.556  0.444  2.08
B  0.942  0.058  0.500  0.01
B  0.058  0.500  0.942  0.01
B  0.500  0.942  0.058  0.01
B  0.500  0.500  0.500  0.01
O  0.500  0.355  0.645  -0.04
O  0.912  0.500  0.088  -0.03
O  0.088  0.912  0.500  -0.03
O  0.500  0.088  0.912  -0.03
O  0.371  0.968  0.214  -0.02
O  0.214  0.371  0.968  -0.02
O  0.968  0.214  0.371  -0.02
O  0.629  0.786  0.032  -0.02
O  0.032  0.629  0.786  -0.02
O  0.786  0.032  0.629  -0.02
O  0.645  0.500  0.355  -0.04
O  0.355  0.645  0.500  -0.04

Output
Symmetry: R32

=====

| no. | calculated total energy (eV/atom) |
| --- | --- |
| 1 | -4.585 |
| 2 | -7.781 |